Ta2SbAs | Alexandria | GGA-PBE | relaxed; formation energy (no corrections) = 49 meV/atom; symmetry = Pm, No. 6; Fermi-level density of states = 1.36 states/eV per cell; total magnetization = 0.00 μB/cell; E = -8.07 eV/atom; crystal system = monoclinic
1.0
4.882 0.000 0.000
0.000 3.214 0.004
0.000 1.328 4.989
Sb As Ta
1 1 2
Direct
0.500 0.687 0.762 Sb
0.000 0.379 0.439 As
0.000 0.076 0.009 Ta
0.500 0.359 0.290 Ta